VASP calculation (GGA-PBE) on an optimized crystal structure of CeHoPb6.

Results
Total moment = 1.038 μB/f.u.
Uncorrected energy = -35.19 eV/f.u.
E_form = -2.42 eV per formula unit
Crystal system = tetragonal

abc: 4.9036 4.9036 9.7599
angles: 90.00 90.00 90.00
With the nearest neighbours (Å) after each atom.
Fractional positions:
Ce  0.0000  0.0000  0.0000  12 Pb 3.47-3.48
Ho  0.0000  0.0000  0.5000  12 Pb 3.44-3.47
Pb  0.5000  0.5000  0.0000  4 Ce 3.47, 8 Pb 3.48
Pb  0.5000  0.5000  0.5000  8 Pb 3.44, 4 Ho 3.47
Pb  0.5000  0.0000  0.2535  8 Pb 3.44-3.48, 2 Ho 3.44, 2 Ce 3.48
Pb  0.5000  0.0000  0.7465  8 Pb 3.44-3.48, 2 Ho 3.44, 2 Ce 3.48
Pb  0.0000  0.5000  0.2535  8 Pb 3.44-3.48, 2 Ho 3.44, 2 Ce 3.48
Pb  0.0000  0.5000  0.7465  8 Pb 3.44-3.48, 2 Ho 3.44, 2 Ce 3.48